Computed, not measured: a geometry-optimized TbSc2PaRu4 structure at the PBE level of DFT.

a = 4.748 Å, b = 4.748 Å, c = 8.013 Å
α = 72.77°, β = 72.77°, γ = 60.00°
Positions (direct):
Tb 0.000 0.000 0.000
Sc 0.747 0.747 0.758
Sc 0.253 0.253 0.242
Pa 0.500 0.500 0.500
Ru 0.383 0.383 0.852
Ru 0.872 0.872 0.385
Ru 0.128 0.128 0.615
Ru 0.617 0.617 0.148

Computed properties:
- energy of formation (kJ per mole of atoms) = -57.3
- space group = No. 166
- total energy (eV/atom) = -8.580

***

Computed, not measured: a geometry-optimized Th3GaPd12 structure at the PBE level of DFT.

a = 4.182 Å, b = 4.182 Å, c = 16.335 Å
α = 90.00°, β = 90.00°, γ = 90.00°
Positions (direct):
Th 0.000 0.000 0.237
Th 0.000 0.000 0.500
Th 0.000 0.000 0.763
Ga 0.000 0.000 0.000
Pd 0.500 0.500 0.000
Pd 0.500 0.500 0.242
Pd 0.500 0.500 0.500
Pd 0.500 0.500 0.758
Pd 0.500 0.000 0.113
Pd 0.500 0.000 0.371
Pd 0.500 0.000 0.629
Pd 0.500 0.000 0.887
Pd 0.000 0.500 0.113
Pd 0.000 0.500 0.371
Pd 0.000 0.500 0.629
Pd 0.000 0.500 0.887

Computed properties:
- energy of formation (kJ per mole of atoms) = -80.7
- space group = No. 123
- total energy (eV/atom) = -6.311

***

Computed, not measured: a geometry-optimized Tl4TeSe4 structure at the PBE level of DFT.

a = 5.976 Å, b = 7.564 Å, c = 7.564 Å
α = 81.02°, β = 66.74°, γ = 66.74°
Positions (direct):
Tl 0.799 0.602 0.801
Tl 0.201 0.398 0.199
Tl 0.599 0.199 0.602
Tl 0.401 0.801 0.398
Te 0.000 0.000 0.000
Se 0.724 0.363 0.190
Se 0.276 0.637 0.810
Se 0.914 0.810 0.363
Se 0.086 0.190 0.637

Computed properties:
- formation energy (no corrections) (kJ/mol of formula units) = -211
- space group = No. 87
- total energy (eV/atom) = -3.192

***

Computed, not measured: a geometry-optimized Cd2RuAu structure at the PBE level of DFT.

a = 4.975 Å, b = 4.975 Å, c = 4.975 Å
α = 129.23°, β = 129.26°, γ = 74.62°
Site moments in Bohr magnetons follow the coordinates.
Positions (direct):
Au 0.250 0.750 0.500  0.00
Cd 0.000 0.000 0.000  0.00
Cd 0.500 0.500 0.000  0.00
Ru 0.750 0.250 0.500  0.65

Computed properties:
- energy of formation (kJ per mole of atoms) = 17.7
- space group = No. 139
- total energy (eV/atom) = -3.413

***

Computed, not measured: a geometry-optimized Sc2CoSnPd structure at the PBE level of DFT.

a = 4.626 Å, b = 4.768 Å, c = 4.626 Å
α = 90.00°, β = 90.00°, γ = 90.00°
Positions (direct):
Sc 0.000 0.000 0.500
Sc 0.500 0.000 0.000
Co 0.000 0.000 0.000
Sn 0.500 0.500 0.500
Pd 0.000 0.500 0.000

Computed properties:
- energy of formation (kJ per mole of atoms) = -15.9
- space group = No. 123
- total energy (eV/atom) = -5.957

***

Computed, not measured: a geometry-optimized CeNdRu2 structure at the PBE level of DFT.

a = 3.462 Å, b = 3.462 Å, c = 7.050 Å
α = 90.00°, β = 90.00°, γ = 90.00°
Positions (direct):
Ru 0.000 0.000 0.779
Ru 0.000 0.000 0.221
Nd 0.500 0.500 0.500
Ce 0.500 0.500 0.000

Computed properties:
- energy of formation (kJ per mole of atoms) = -24.8
- space group = No. 123
- total energy (eV/atom) = -7.571